# 1
Computed, not measured: an optimized crystal structure of K4Rb2Na at the PBE level of DFT.

abc: 12.1951 12.1951 10.1722
angles: 113.50 113.50 21.88
Closest atoms and distances in Å follow each position.
Fractional coordinates of all 7 atoms:
K (0.0848, 0.0848, 0.4307)  1 Na 4.01
K (0.4051, 0.4051, 0.1694)  2 Na 4.08
K (0.5949, 0.5949, 0.8306)  2 Na 4.08
K (0.9152, 0.9152, 0.5693)  1 Na 4.01
Rb (0.2274, 0.2274, 0.2426)  6 K 4.54-4.95, 2 Rb 4.63, 1 Na 4.98
Rb (0.7726, 0.7726, 0.7574)  6 K 4.54-4.95, 2 Rb 4.63, 1 Na 4.98
Na (0.0000, 0.0000, 0.0000)  6 K 4.01-4.08

The energy comes out at -7.37 eV per cell. The calculated volume comes out at 73.60 A^3/atom. The energy of formation from the pure elements comes out at 39 meV/atom. For the polymorph energy (0 for the lowest one), the calculation gives 0.000 eV per atom.

# 2
Computed, not measured: an optimized crystal structure of KRbNa at the PBE level of DFT.

abc: 8.9726 8.9726 8.9726
angles: 148.60 148.60 45.00
Closest atoms and distances in Å follow each position.
Fractional coordinates of all 3 atoms:
K (0.0000, 0.0000, 0.0000)  4 Na 4.10
Rb (0.2941, 0.2941, 0.0000)  4 Na 4.33, 4 K 4.84
Na (0.6348, 0.6348, 0.0000)  4 K 4.10, 4 Rb 4.33

The energy comes out at -3.32 eV per cell. The calculated volume comes out at 65.16 A^3/atom. The energy of formation from the pure elements comes out at 22 meV/atom. For the polymorph energy (0 for the lowest one), the calculation gives 0.000 eV per atom.

# 3
Computed, not measured: an optimized crystal structure of K8RbNa2 at the PBE level of DFT.

abc: 11.7270 11.7270 10.6494
angles: 110.31 110.31 32.49
Closest atoms and distances in Å follow each position.
Fractional coordinates of all 11 atoms:
K (0.0495, 0.0495, 0.2256)  1 Na 4.29, 8 K 4.47-4.81, 2 Rb 4.79
K (0.1557, 0.1557, 0.7314)  3 Na 4.13-4.19, 3 K 4.44-4.55
K (0.3139, 0.3139, 0.5751)  3 Na 4.20-4.66, 6 K 4.27-4.47, 1 Rb 4.54
K (0.3914, 0.3914, 0.0238)  3 Na 4.20-4.43, 5 K 4.46-4.71
K (0.6086, 0.6086, 0.9762)  3 Na 4.20-4.43, 5 K 4.46-4.71
K (0.6861, 0.6861, 0.4249)  3 Na 4.20-4.66, 6 K 4.27-4.47, 1 Rb 4.54
K (0.8443, 0.8443, 0.2686)  3 Na 4.13-4.19, 3 K 4.44-4.55
K (0.9505, 0.9505, 0.7744)  1 Na 4.29, 8 K 4.47-4.81, 2 Rb 4.79
Rb (0.5000, 0.5000, 0.5000)  12 K 4.54-4.79
Na (0.2253, 0.2253, 0.1539)  8 K 4.13-4.43
Na (0.7747, 0.7747, 0.8461)  8 K 4.13-4.43

The energy comes out at -12.20 eV per cell. The calculated volume comes out at 66.68 A^3/atom. The energy of formation from the pure elements comes out at 16 meV/atom. For the polymorph energy (0 for the lowest one), the calculation gives 0.000 eV per atom.

# 4
Computed, not measured: an optimized crystal structure of K4Rb3Na4 at the PBE level of DFT.

abc: 13.4281 13.4281 13.4281
angles: 159.30 123.34 60.98
Closest atoms and distances in Å follow each position.
Fractional coordinates of all 11 atoms:
K (0.0275, 0.8340, 0.1935)  4 Na 4.01-4.32
K (0.3596, 0.1660, 0.1935)  4 Na 4.01-4.32
K (0.6404, 0.8340, 0.8065)  4 Na 4.01-4.32
K (0.9725, 0.1660, 0.8065)  4 Na 4.01-4.32
Rb (0.0000, 0.5000, 0.5000)  4 Na 4.38, 2 Rb 4.82
Rb (0.3996, 0.3996, 0.0000)  6 Na 4.13-4.31
Rb (0.6004, 0.6004, 0.0000)  6 Na 4.13-4.31
Na (0.2546, 0.7546, 0.5000)  6 K 4.01-4.32, 2 Rb 4.13
Na (0.2870, 0.0000, 0.2870)  2 K 4.02, 6 Rb 4.31-4.38
Na (0.7130, 0.0000, 0.7130)  2 K 4.02, 6 Rb 4.31-4.38
Na (0.7454, 0.2454, 0.5000)  6 K 4.01-4.32, 2 Rb 4.13

The energy comes out at -12.18 eV per cell. The calculated volume comes out at 64.67 A^3/atom. The energy of formation from the pure elements comes out at 35 meV/atom. For the polymorph energy (0 for the lowest one), the calculation gives 0.000 eV per atom.

# 5
Computed, not measured: an optimized crystal structure of K2Rb3Na2 at the PBE level of DFT.

abc: 7.2070 7.2070 11.4208
angles: 108.36 108.36 59.46
Closest atoms and distances in Å follow each position.
Fractional coordinates of all 7 atoms:
K (0.0909, 0.0909, 0.2648)  4 Na 4.21-4.26, 3 Rb 4.63
K (0.9091, 0.9091, 0.7352)  4 Na 4.21-4.26, 3 Rb 4.63
Rb (0.3583, 0.3583, 0.0719)  1 Na 4.33, 4 Rb 4.42-4.56, 3 K 4.63
Rb (0.5000, 0.5000, 0.5000)  6 Na 4.48-4.56, 2 Rb 4.56, 6 K 4.84-4.85
Rb (0.6417, 0.6417, 0.9281)  1 Na 4.33, 4 Rb 4.42-4.56, 3 K 4.63
Na (0.2184, 0.2184, 0.6652)  4 K 4.21-4.26, 4 Rb 4.33-4.56
Na (0.7816, 0.7816, 0.3348)  4 K 4.21-4.26, 4 Rb 4.33-4.56

The energy comes out at -7.52 eV per cell. The calculated volume comes out at 68.02 A^3/atom. The energy of formation from the pure elements comes out at 31 meV/atom. For the polymorph energy (0 for the lowest one), the calculation gives 0.008 eV per atom.

# 6
Computed, not measured: an optimized crystal structure of KRb12Na5 at the PBE level of DFT.

abc: 12.1002 12.1002 12.1002
angles: 116.23 109.74 102.73
Closest atoms and distances in Å follow each position.
Fractional coordinates of all 18 atoms:
K (0.0000, 0.0000, 0.0000)  12 Rb 4.67-5.07
Rb (0.1101, 0.8174, 0.2927)  3 Na 4.18-4.39
Rb (0.2245, 0.3126, 0.5371)  4 Na 4.32-4.52, 1 Rb 4.79
Rb (0.2245, 0.6874, 0.9119)  4 Na 4.32-4.52, 1 Rb 4.79
Rb (0.2602, 0.0625, 0.8022)  3 Na 4.16-4.43
Rb (0.2602, 0.4580, 0.1978)  3 Na 4.16-4.43
Rb (0.4753, 0.1826, 0.2927)  3 Na 4.18-4.39
Rb (0.5247, 0.8174, 0.7073)  3 Na 4.18-4.39
Rb (0.7398, 0.5420, 0.8022)  3 Na 4.16-4.43
Rb (0.7398, 0.9375, 0.1978)  3 Na 4.16-4.43
Rb (0.7755, 0.3126, 0.0881)  4 Na 4.32-4.52, 1 Rb 4.79
Rb (0.7755, 0.6874, 0.4629)  4 Na 4.32-4.52, 1 Rb 4.79
Rb (0.8899, 0.1826, 0.7073)  3 Na 4.18-4.39
Na (0.1170, 0.6170, 0.5000)  1 Na 3.54
Na (0.5000, 0.1429, 0.6429)  1 Na 3.65
Na (0.5000, 0.5000, 0.0000)  8 Rb 4.42-4.52, 2 Na 4.56
Na (0.5000, 0.8571, 0.3571)  1 Na 3.65
Na (0.8830, 0.3830, 0.5000)  1 Na 3.54

The energy comes out at -18.83 eV per cell. The calculated volume comes out at 74.72 A^3/atom. The energy of formation from the pure elements comes out at 26 meV/atom.

# 7
Computed, not measured: an optimized crystal structure of K10Rb3Na3 at the PBE level of DFT.

abc: 12.3453 12.3453 8.3965
angles: 90.00 90.00 120.00
Closest atoms and distances in Å follow each position.
Fractional coordinates of all 16 atoms:
K (0.0000, 0.2348, 0.0000)  3 Na 4.25-4.56
K (0.0000, 0.7780, 0.5000)  3 Rb 4.42-4.49, 2 Na 4.71, 2 K 4.75
K (0.2220, 0.2220, 0.5000)  3 Rb 4.42-4.49, 2 Na 4.71, 2 K 4.75
K (0.2348, 0.0000, 0.0000)  3 Na 4.25-4.56
K (0.3333, 0.6667, 0.2302)  1 K 3.87, 3 Na 4.25
K (0.3333, 0.6667, 0.7698)  1 K 3.87, 3 Na 4.25
K (0.6667, 0.3333, 0.2302)  1 K 3.87, 3 Na 4.25
K (0.6667, 0.3333, 0.7698)  1 K 3.87, 3 Na 4.25
K (0.7652, 0.7652, 0.0000)  3 Na 4.25-4.56
K (0.7780, 0.0000, 0.5000)  3 Rb 4.42-4.49, 2 Na 4.71, 2 K 4.75
Rb (0.0000, 0.4200, 0.5000)  9 K 4.34-4.78, 2 Na 4.78
Rb (0.4200, 0.0000, 0.5000)  9 K 4.34-4.78, 2 Na 4.78
Rb (0.5800, 0.5800, 0.5000)  9 K 4.34-4.78, 2 Na 4.78
Na (0.0000, 0.6044, 0.0000)  9 K 4.25-4.71
Na (0.3956, 0.3956, 0.0000)  9 K 4.25-4.71
Na (0.6044, 0.0000, 0.0000)  9 K 4.25-4.71

The energy comes out at -17.19 eV per cell. The calculated volume comes out at 69.27 A^3/atom. The energy of formation from the pure elements comes out at 41 meV/atom.

# 8
Computed, not measured: an optimized crystal structure of K5Rb2Na5 at the PBE level of DFT.

abc: 6.8508 7.7680 14.2375
angles: 90.00 90.00 90.00
Closest atoms and distances in Å follow each position.
Fractional coordinates of all 12 atoms:
K (0.0000, 0.0000, 0.0000)  4 K 4.28, 4 Na 4.34
K (0.5000, 0.0000, 0.1806)  4 Na 4.14, 4 K 4.28-4.46, 1 Rb 4.55
K (0.5000, 0.0000, 0.8194)  4 Na 4.14, 4 K 4.28-4.46, 1 Rb 4.55
K (0.5000, 0.5000, 0.3341)  6 Na 4.05-4.16, 2 K 4.46
K (0.5000, 0.5000, 0.6659)  6 Na 4.05-4.16, 2 K 4.46
Rb (0.5000, 0.0000, 0.5000)  6 K 4.55, 8 Na 5.07
Rb (0.5000, 0.5000, 0.0000)  10 K 4.66-5.18
Na (0.0000, 0.2447, 0.2737)  3 Na 3.78-3.97, 4 K 4.05-4.14
Na (0.0000, 0.2447, 0.7263)  3 Na 3.78-3.97, 4 K 4.05-4.14
Na (0.0000, 0.5000, 0.5000)  4 Na 3.78, 4 K 4.16
Na (0.0000, 0.7553, 0.2737)  3 Na 3.78-3.97, 4 K 4.05-4.14
Na (0.0000, 0.7553, 0.7263)  3 Na 3.78-3.97, 4 K 4.05-4.14

The energy comes out at -13.32 eV per cell. The calculated volume comes out at 63.14 A^3/atom. The energy of formation from the pure elements comes out at 58 meV/atom. For the polymorph energy (0 for the lowest one), the calculation gives 0.027 eV per atom.

# 9
Computed, not measured: an optimized crystal structure of KRb4Na at the PBE level of DFT.

abc: 11.6719 11.6719 8.0081
angles: 100.24 100.24 113.02
Closest atoms and distances in Å follow each position.
Fractional coordinates of all 12 atoms:
K (0.1067, 0.8933, 0.7500)  10 Rb 4.64-5.00
K (0.8933, 0.1067, 0.2500)  10 Rb 4.64-5.00
Rb (0.1258, 0.3055, 0.8615)  2 Na 4.36-4.38, 3 K 4.64-4.80, 1 Rb 4.79
Rb (0.2067, 0.5747, 0.4367)  2 Na 4.30-4.33, 3 Rb 4.72-4.81, 1 K 4.75
Rb (0.3055, 0.1258, 0.3615)  2 Na 4.36-4.38, 3 K 4.64-4.80, 1 Rb 4.79
Rb (0.4253, 0.7933, 0.0633)  2 Na 4.30-4.33, 3 Rb 4.72-4.81, 1 K 4.75
Rb (0.5747, 0.2067, 0.9367)  2 Na 4.30-4.33, 3 Rb 4.72-4.81, 1 K 4.75
Rb (0.6945, 0.8742, 0.6385)  2 Na 4.36-4.38, 3 K 4.64-4.80, 1 Rb 4.79
Rb (0.7933, 0.4253, 0.5633)  2 Na 4.30-4.33, 3 Rb 4.72-4.81, 1 K 4.75
Rb (0.8742, 0.6945, 0.1385)  2 Na 4.36-4.38, 3 K 4.64-4.80, 1 Rb 4.79
Na (0.4975, 0.5025, 0.7500)  2 Na 4.01, 8 Rb 4.30-4.38
Na (0.5025, 0.4975, 0.2500)  2 Na 4.01, 8 Rb 4.30-4.38

The energy comes out at -12.29 eV per cell. The calculated volume comes out at 79.21 A^3/atom. The energy of formation from the pure elements comes out at 24 meV/atom. For the polymorph energy (0 for the lowest one), the calculation gives 0.000 eV per atom.

# 10
Computed, not measured: an optimized crystal structure of K2Rb3Na2 at the PBE level of DFT.

abc: 6.8832 8.0688 9.4786
angles: 91.96 90.09 114.23
Closest atoms and distances in Å follow each position.
Fractional coordinates of all 7 atoms:
K (0.1057, 0.2103, 0.1743)  3 Na 4.15-4.33, 1 K 4.44, 1 Rb 4.59
K (0.8943, 0.7897, 0.8257)  3 Na 4.15-4.33, 1 K 4.44, 1 Rb 4.59
Rb (0.1997, 0.4010, 0.6889)  3 Na 4.34-4.47, 4 K 4.59-4.86, 2 Rb 4.80-4.82
Rb (0.5000, 0.0000, 0.5000)  2 Na 4.33, 4 Rb 4.80-4.82
Rb (0.8003, 0.5990, 0.3111)  3 Na 4.34-4.47, 4 K 4.59-4.86, 2 Rb 4.80-4.82
Na (0.3891, 0.7776, 0.0704)  1 Na 3.58
Na (0.6109, 0.2224, 0.9296)  1 Na 3.58

The energy comes out at -7.57 eV per cell. The calculated volume comes out at 68.53 A^3/atom. The energy of formation from the pure elements comes out at 23 meV/atom. For the polymorph energy (0 for the lowest one), the calculation gives 0.000 eV per atom.

# 11
Computed, not measured: an optimized crystal structure of K2Rb9Na at the PBE level of DFT.

abc: 6.9261 6.9261 20.6682
angles: 90.00 90.00 90.00
Closest atoms and distances in Å follow each position.
Fractional coordinates of all 12 atoms:
K (0.0000, 0.0000, 0.1723)  12 Rb 4.90-4.99
K (0.0000, 0.0000, 0.8277)  12 Rb 4.90-4.99
Rb (0.0000, 0.5000, 0.0000)  8 Rb 4.90-4.99, 4 K 4.97
Rb (0.0000, 0.5000, 0.3464)  2 Na 4.70, 8 Rb 4.70-4.97, 2 K 4.99
Rb (0.0000, 0.5000, 0.6536)  2 Na 4.70, 8 Rb 4.70-4.97, 2 K 4.99
Rb (0.5000, 0.0000, 0.0000)  8 Rb 4.90-4.99, 4 K 4.97
Rb (0.5000, 0.0000, 0.3464)  2 Na 4.70, 8 Rb 4.70-4.97, 2 K 4.99
Rb (0.5000, 0.0000, 0.6536)  2 Na 4.70, 8 Rb 4.70-4.97, 2 K 4.99
Rb (0.5000, 0.5000, 0.1736)  4 K 4.90, 8 Rb 4.97-4.99
Rb (0.5000, 0.5000, 0.5000)  8 Rb 4.70, 4 Na 4.90
Rb (0.5000, 0.5000, 0.8264)  4 K 4.90, 8 Rb 4.97-4.99
Na (0.0000, 0.0000, 0.5000)  12 Rb 4.70-4.90

The energy comes out at -12.04 eV per cell. The calculated volume comes out at 82.62 A^3/atom. The energy of formation from the pure elements comes out at 15 meV/atom.

# 12
Computed, not measured: an optimized crystal structure of K2Rb5Na12 at the PBE level of DFT.

abc: 12.8266 12.8266 9.3992
angles: 93.10 93.10 41.86
Closest atoms and distances in Å follow each position.
Fractional coordinates of all 19 atoms:
K (0.2455, 0.7545, 0.0000)  8 Na 4.05-4.21, 1 K 4.50
K (0.7545, 0.2455, 0.0000)  8 Na 4.05-4.21, 1 K 4.50
Rb (0.1996, 0.1996, 0.0543)  7 Na 4.19-4.58
Rb (0.2522, 0.2522, 0.5612)  9 Na 4.07-4.43
Rb (0.5000, 0.5000, 0.5000)  8 Na 3.99-4.31
Rb (0.7478, 0.7478, 0.4388)  9 Na 4.07-4.43
Rb (0.8004, 0.8004, 0.9457)  7 Na 4.19-4.58
Na (0.0454, 0.0454, 0.6558)  5 Na 3.54-3.68
Na (0.0952, 0.6960, 0.6400)  5 Na 3.66-4.02, 1 Rb 3.99
Na (0.1677, 0.5567, 0.2522)  4 Na 3.56-3.81
Na (0.3040, 0.9048, 0.3600)  5 Na 3.66-4.02, 1 Rb 3.99
Na (0.3652, 0.3652, 0.9015)  4 Na 3.75-3.79, 2 K 4.05, 1 Rb 4.07
Na (0.4433, 0.8323, 0.7478)  4 Na 3.56-3.81
Na (0.5567, 0.1677, 0.2522)  4 Na 3.56-3.81
Na (0.6348, 0.6348, 0.0985)  4 Na 3.75-3.79, 2 K 4.05, 1 Rb 4.07
Na (0.6960, 0.0952, 0.6400)  5 Na 3.66-4.02, 1 Rb 3.99
Na (0.8323, 0.4433, 0.7478)  4 Na 3.56-3.81
Na (0.9048, 0.3040, 0.3600)  5 Na 3.66-4.02, 1 Rb 3.99
Na (0.9546, 0.9546, 0.3442)  5 Na 3.54-3.68

The energy comes out at -22.16 eV per cell. The calculated volume comes out at 54.22 A^3/atom. The energy of formation from the pure elements comes out at 37 meV/atom.